(1)
8
Lattice="7.2350 0.0000 0.0000 0.0000 4.1938 0.0000 -2.4125 0.0000 6.8296" Properties=species:S:1:pos:R:3 comment="Nd2TmPuAs4 (GGA-PBE, relaxed)" formation_enthalpy_0k_kj_per_mol_atoms=-132.2 pbc="T T T"
Nd 0.0000 0.0000 0.0000
Nd 3.6175 2.0969 0.0000
Tm -1.2063 2.0969 3.4148
Pu 2.4112 0.0000 3.4148
As -0.0056 0.0000 5.0353
As 1.2012 2.0969 1.7924
As 3.6212 2.0969 5.0372
As 4.8281 0.0000 1.7943

---

(2)
8
Lattice="-2.9269 2.9269 5.8554 2.9269 -2.9269 5.8554 2.9269 2.9269 -5.8554" Properties=species:S:1:pos:R:3 comment="NdPuU2As4 (GGA-PBE, relaxed)" formation_enthalpy_0k_kj_per_mol_atoms=-92.9 pbc="T T T"
Nd 0.0000 0.0000 0.0000
Pu 2.9269 0.0000 2.9277
U 0.0000 0.0000 5.8554
U 0.0000 2.9269 2.9277
As 0.0000 0.0000 2.9984
As 0.0000 2.9269 0.0391
As 0.0000 0.0000 8.7124
As 0.0000 2.9269 5.8163

---

(3)
8
Lattice="7.2546 0.0000 0.0000 0.0000 4.1714 0.0000 -2.4007 0.0000 6.8551" Properties=species:S:1:pos:R:3 comment="Nd2PuUAs4 (GGA-PBE, relaxed)" formation_enthalpy_0k_kj_per_mol_atoms=-113.8 pbc="T T T"
Nd 0.0000 0.0000 0.0000
Nd -1.2004 2.0857 3.4275
Pu 2.4270 0.0000 3.4275
U 3.6273 2.0857 0.0000
As 0.0910 0.0000 5.1968
As 1.3126 2.0857 1.7166
As 3.5414 2.0857 5.1384
As 4.7629 0.0000 1.6582

---

(4)
12
Lattice="9.0916 -2.0912 0.0000 9.0916 2.0912 0.0000 -1.9052 0.0000 8.1301" Properties=species:S:1:pos:R:3 comment="Nd2Y3PuAs6 (GGA-PBE, relaxed)" formation_enthalpy_0k_kj_per_mol_atoms=-139.0 pbc="T T T"
Nd 2.3924 0.0000 2.7164
Nd 13.8856 0.0000 5.4138
Y 1.4609 0.0000 6.7769
Y 8.1390 0.0000 4.0651
Y 14.8170 0.0000 1.3532
Pu 9.0916 0.0000 0.0000
As -1.3940 0.0000 6.1274
As 4.3185 0.0000 7.5045
As 5.3133 0.0000 3.3435
As 10.9646 0.0000 4.7866
As 11.9595 0.0000 0.6257
As 17.6719 0.0000 2.0028

---

(5)
8
Lattice="7.1924 0.0000 0.0000 0.0000 4.1746 0.0000 -2.4206 0.0000 6.8098" Properties=species:S:1:pos:R:3 comment="NdYPu2As4 (GGA-PBE, relaxed)" formation_enthalpy_0k_kj_per_mol_atoms=-122.7 pbc="T T T"
Nd 0.0000 0.0000 0.0000
Y -1.2103 2.0873 3.4049
Pu 2.3859 0.0000 3.4049
Pu 3.5962 2.0873 0.0000
As 0.0333 0.0000 5.0926
As 1.2430 2.0873 1.7538
As 3.5288 2.0873 5.0560
As 4.7385 0.0000 1.7173

---

(6)
6
Lattice="3.4537 -3.4542 0.0000 3.4537 3.4542 0.0000 -3.4416 0.0000 9.0506" Properties=species:S:1:pos:R:3 comment="RbNdAs (GGA-PBE, relaxed)" formation_enthalpy_0k_kj_per_mol_atoms=-62.6 pbc="T T T"
Rb -0.0006 0.0000 3.3841
Rb 3.4665 0.0000 5.6665
Nd 1.7269 1.7271 0.0000
Nd 1.7269 -1.7271 0.0000
As 0.0133 0.0000 7.1099
As 3.4525 0.0000 1.9407

---

(7)
16
Lattice="-4.1997 4.3122 6.0153 4.1997 -4.3122 6.0153 4.1997 4.3122 -6.0153" Properties=species:S:1:pos:R:3 comment="Rb2NdAsS4 (GGA-PBE, relaxed)" formation_energy_uncorrected_ev_per_atom=-1.07 pbc="T T T"
Rb 0.0000 0.0000 0.0000
Rb -2.0999 2.1561 3.0077
Rb 0.0000 4.3122 0.0000
Rb 2.0999 2.1561 3.0077
Nd 4.1997 0.0000 0.0000
Nd 0.0000 0.0000 6.0153
As 2.0999 2.1561 -3.0077
As 2.0999 -2.1561 3.0077
S 4.1997 -0.4118 2.8542
S 4.1997 3.9004 -2.8542
S 2.3361 2.1561 -0.3108
S 6.0633 2.1561 -0.3108
S -1.8636 2.1561 6.3261
S 1.8636 2.1561 6.3261
S 0.0000 0.4118 8.8695
S 0.0000 4.7240 3.1612

---

(8)
11
Lattice="6.1234 -3.6144 0.0000 6.1234 3.6144 0.0000 -4.1374 0.0000 7.5637" Properties=species:S:1:pos:R:3 comment="Rb2NdAs2S6 (GGA-PBE, relaxed)" formation_energy_uncorrected_ev_per_atom=-0.83 pbc="T T T"
Rb 1.7316 0.0000 1.4123
Rb 6.3779 0.0000 6.1514
Nd -2.0687 0.0000 3.7819
As 2.1964 0.0000 6.1404
As 5.9131 0.0000 1.4234
S 4.6253 1.8120 1.6245
S 0.5892 0.0000 4.5883
S 3.4842 1.8120 5.9392
S 4.6253 -1.8120 1.6245
S 7.5203 0.0000 2.9754
S 3.4842 -1.8120 5.9392

---

(9)
29
Lattice="-4.6197 5.2121 9.5968 4.6197 -5.2121 9.5968 4.6197 5.2121 -9.5968" Properties=species:S:1:pos:R:3 comment="Rb8NdAs4S16 (GGA-PBE, relaxed)" formation_energy_uncorrected_ev_per_atom=-0.80 pbc="T T T"
Rb 5.7698 2.5611 -1.6150
Rb 0.0000 0.0000 3.8755
Rb 4.6197 0.0000 4.8557
Rb 3.4696 2.5611 1.6150
Rb -1.1501 2.6509 7.9817
Rb 0.0000 5.2121 4.7411
Rb 0.0000 0.0000 15.3180
Rb 1.1501 2.6509 11.2118
Nd 0.0000 5.2121 0.0000
As 1.8660 2.7592 -2.3482
As 2.7537 -2.4529 11.9450
As 2.7537 2.4529 7.2485
As 1.8660 7.6650 2.3482
S 2.6717 0.8826 -1.5508
S 2.3960 2.7384 -4.4674
S 6.5678 0.8826 1.5508
S 4.3251 -2.1579 7.5494
S 2.6777 4.4548 -1.2259
S 0.2947 3.0542 2.0474
S 1.9420 -0.7573 10.8226
S 2.2238 -2.4736 14.0641
S 2.2238 2.4736 5.1294
S 1.9420 0.7573 8.3709
S 4.9144 2.1579 7.5494
S 2.6777 5.9693 1.2259
S -0.2947 7.3700 2.0474
S 1.9480 4.3295 8.0460
S 2.3960 7.6857 4.4674
S -1.9480 4.3295 11.1475

---

(10)
16
Lattice="-4.3798 4.4816 6.2686 4.3798 -4.4816 6.2686 4.3798 4.4816 -6.2686" Properties=species:S:1:pos:R:3 comment="Rb2NdAsSe4 (GGA-PBE, relaxed)" formation_energy_uncorrected_ev_per_atom=-1.04 pbc="T T T"
Rb 0.0000 0.0000 0.0000
Rb -2.1899 2.2408 3.1343
Rb 0.0000 4.4816 0.0000
Rb 2.1899 2.2408 3.1343
Nd 4.3798 0.0000 0.0000
Nd 0.0000 0.0000 6.2686
As 2.1899 2.2408 -3.1343
As 2.1899 -2.2408 3.1343
Se 4.3798 -0.4153 2.9812
Se 4.3798 4.0663 -2.9812
Se 2.4199 2.2408 -0.3096
Se 6.3398 2.2408 -0.3096
Se -1.9600 2.2408 6.5782
Se 1.9600 2.2408 6.5782
Se 0.0000 0.4153 9.2498
Se 0.0000 4.8968 3.2873

---

(11)
6
Lattice="3.6276 0.0000 0.0000 0.0000 3.6276 0.0000 0.0000 0.0000 10.2645" Properties=species:S:1:pos:R:3 comment="NdReAs (GGA-PBE, relaxed)" formation_enthalpy_0k_kj_per_mol_atoms=-3.6 pbc="T T T"
Nd 0.9069 0.9069 2.4231
Nd 2.7207 2.7207 7.8414
Re 0.9069 2.7207 5.1323
Re 2.7207 0.9069 5.1323
As 0.9069 0.9069 9.5118
As 2.7207 2.7207 0.7527

---

(12)
8
Lattice="3.9941 0.0000 0.0000 0.0000 3.9941 0.0000 0.0000 0.0000 9.6831" Properties=species:S:1:pos:R:3 comment="NdAsRh2 (GGA-PBE, relaxed)" formation_enthalpy_0k_kj_per_mol_atoms=-74.3 pbc="T T T"
Nd 0.9985 0.9985 2.0214
Nd 2.9956 2.9956 7.6617
As 0.9985 0.9985 6.3214
As 2.9956 2.9956 3.3618
Rh 0.9985 0.9985 8.7597
Rh 0.9985 2.9956 4.8416
Rh 2.9956 0.9985 4.8416
Rh 2.9956 2.9956 0.9234

---

(13)
7
Lattice="5.2859 -1.9727 0.0000 5.2859 1.9727 0.0000 -2.8614 0.0000 6.4894" Properties=species:S:1:pos:R:3 comment="Nd2As2Rh3 (GGA-PBE, relaxed)" formation_enthalpy_0k_kj_per_mol_atoms=-83.7 pbc="T T T"
Nd 0.5980 0.0000 1.7318
Nd 7.1123 0.0000 4.7576
As -0.4544 0.0000 4.7085
As 8.1647 0.0000 1.7809
Rh 3.7236 0.0000 0.4261
Rh 3.8552 0.0000 3.2447
Rh 3.9867 0.0000 6.0633

---

(14)
11
Lattice="0.0000 4.9515 7.4610 2.7911 0.0000 7.4610 2.7911 4.9515 0.0000" Properties=species:S:1:pos:R:3 comment="Nd2As4Rh5 (GGA-PBE, relaxed)" formation_enthalpy_0k_kj_per_mol_atoms=-71.3 pbc="T T T"
Nd 2.7911 4.9515 1.9747
Nd 2.7911 4.9515 12.9472
As 2.7911 3.3947 5.5425
As 2.7911 3.3947 9.3794
As 2.7911 6.5083 5.5425
As 2.7911 6.5083 9.3794
Rh 1.3956 2.4758 0.0000
Rh 1.3956 2.4758 3.7305
Rh 1.3956 2.4758 7.4610
Rh 2.7911 4.9515 7.4610
Rh 4.1867 7.4273 11.1914

---

(15)
8
Lattice="-1.9760 3.5200 4.8574 1.9760 -3.5200 4.8574 1.9760 3.5200 -4.8574" Properties=species:S:1:pos:R:3 comment="NdAs2Rh5 (GGA-PBE, relaxed)" formation_enthalpy_0k_kj_per_mol_atoms=-60.8 pbc="T T T"
Nd 0.0000 0.0000 0.0000
As 1.9760 0.0000 2.4677
As 0.0000 3.5200 2.3896
Rh 1.9760 2.1356 -1.4111
Rh 1.9760 2.1356 1.4111
Rh 0.0000 3.5200 0.0000
Rh 0.0000 1.3844 3.4463
Rh 0.0000 1.3844 6.2685

---

(16)
21
Lattice="9.9973 0.0000 0.0000 -4.9987 8.6580 0.0000 0.0000 0.0000 3.9705" Properties=species:S:1:pos:R:3 comment="Nd2As7Rh12 (GGA-PBE, relaxed)" formation_enthalpy_0k_kj_per_mol_atoms=-67.9 pbc="T T T"
Nd 0.0000 5.7720 0.9966
Nd 4.9987 2.8860 2.9739
As 0.0000 0.0000 0.0000
As -0.8616 3.4940 2.9747
As -1.5420 7.6572 2.9747
As 2.5950 2.4932 0.9958
As 2.4036 6.1648 2.9747
As 6.5407 1.0008 0.9958
As 5.8603 5.1640 0.9958
Rh -2.4604 5.3561 2.9787
Rh -3.1089 7.3761 1.0054
Rh 0.1652 2.2775 1.0054
Rh 2.0550 0.9957 2.9651
Rh 1.5903 3.8492 2.9787
Rh 4.1286 0.5473 0.9919
Rh 0.8700 8.1106 2.9787
Rh 3.4083 4.8088 0.9919
Rh 2.9436 7.6623 1.0054
Rh 4.8334 6.3804 2.9651
Rh 8.1076 1.2819 2.9651
Rh 7.4590 3.3019 0.9919

---

(17)
5
Lattice="-2.0502 2.0502 5.4218 2.0502 -2.0502 5.4218 2.0502 2.0502 -5.4218" Properties=species:S:1:pos:R:3 comment="NdAsRh3 (GGA-PBE, relaxed)" formation_enthalpy_0k_kj_per_mol_atoms=-67.1 pbc="T T T"
Nd 0.0000 0.0000 0.0000
As 0.0000 0.0000 6.8642
Rh 2.0502 0.0000 2.7473
Rh 0.0000 0.0000 4.5138
Rh 0.0000 2.0502 2.7473

---

(18)
17
Lattice="-4.2819 4.2819 4.2819 4.2819 -4.2819 4.2819 4.2819 4.2819 -4.2819" Properties=species:S:1:pos:R:3 comment="Nd4As6Rh7 (GGA-PBE, relaxed)" formation_enthalpy_0k_kj_per_mol_atoms=-91.7 pbc="T T T"
Nd 2.1410 2.1410 -2.1410
Nd 2.1410 -2.1410 2.1410
Nd -2.1410 2.1410 2.1410
Nd 2.1410 2.1410 2.1410
As 2.7711 0.0000 0.0000
As 5.7927 0.0000 0.0000
As 0.0000 2.7711 0.0000
As 0.0000 0.0000 2.7711
As 0.0000 5.7927 0.0000
As 0.0000 0.0000 5.7927
Rh 0.0000 0.0000 0.0000
Rh 4.2819 2.1410 0.0000
Rh 4.2819 0.0000 2.1410
Rh 2.1410 4.2819 0.0000
Rh 2.1410 0.0000 4.2819
Rh 0.0000 4.2819 2.1410
Rh 0.0000 2.1410 4.2819

---

(19)
14
Lattice="6.7017 0.0000 0.0000 0.0000 6.7017 0.0000 0.0000 0.0000 6.7017" Properties=species:S:1:pos:R:3 comment="NdAs3Rh3 (GGA-PBE, relaxed)" formation_enthalpy_0k_kj_per_mol_atoms=-41.4 pbc="T T T"
Nd 0.0000 0.0000 0.0000
Nd 3.3508 3.3508 3.3508
As 0.0000 1.6754 3.3508
As 0.0000 5.0263 3.3508
As 1.6754 3.3508 0.0000
As 3.3508 0.0000 1.6754
As 3.3508 0.0000 5.0263
As 5.0263 3.3508 0.0000
Rh 0.0000 3.3508 1.6754
Rh 0.0000 3.3508 5.0263
Rh 1.6754 0.0000 3.3508
Rh 3.3508 1.6754 0.0000
Rh 3.3508 5.0263 0.0000
Rh 5.0263 0.0000 3.3508

---

(20)
8
Lattice="4.1055 0.0000 0.0000 0.0000 4.1055 0.0000 0.0000 0.0000 8.3143" Properties=species:S:1:pos:R:3 comment="NdAs3Rh4 (GGA-PBE, relaxed)" formation_enthalpy_0k_kj_per_mol_atoms=-68.5 pbc="T T T"
Nd 0.0000 0.0000 0.0000
As 0.0000 0.0000 4.1572
As 2.0527 2.0527 1.3421
As 2.0527 2.0527 6.9723
Rh 0.0000 2.0527 2.7021
Rh 0.0000 2.0527 5.6122
Rh 2.0527 0.0000 2.7021
Rh 2.0527 0.0000 5.6122